Y2CoO: optimized geometry, GGA+U.

Results
The calculated density is 5.13 g/cm3. As for the total energy: -26.068 eV for the cell shown. The calculation puts the size of the total moment at 1.2 μB per cell.

Lattice parameters (Å, degrees): 8.4969 8.4969 8.4969 22.94 22.94 22.94
Last column: nearest neighbours and their distance in Å.
Sites, in units of the cell vectors:
Y 0.1107 0.1107 0.1107  3 O 2.40
Y 0.8893 0.8893 0.8893  3 O 2.40
Co 0.0000 0.0000 0.0000  2 Y 2.75
O 0.5000 0.5000 0.5000  6 Y 2.40